1.
Material: CeSm2Dy8
Method: DFT, PBE
State: optimized geometry

Cell and atoms, written as CIF:
```
data_CeSm2Dy8
_chemical_formula_sum 'Ce1 Sm2 Dy8'
_symmetry_space_group_name_H-M 'P 1'
_symmetry_Int_Tables_number 1
_cell_length_a 5.031
_cell_length_b 7.955
_cell_length_c 9.412
_cell_angle_alpha 104.68
_cell_angle_beta 105.50
_cell_angle_gamma 90.00
loop_
_symmetry_equiv_pos_as_xyz
'x,y,z'
loop_
_atom_site_label
_atom_site_fract_x
_atom_site_fract_y
_atom_site_fract_z
Ce1 0.500 0.000 0.000
Sm1 0.228 0.637 0.457
Sm2 0.772 0.363 0.543
Dy1 0.590 0.453 0.180
Dy2 0.320 0.093 0.640
Dy3 0.135 0.179 0.270
Dy4 0.045 0.731 0.089
Dy5 0.865 0.821 0.730
Dy6 0.680 0.907 0.360
Dy7 0.410 0.547 0.820
Dy8 0.955 0.269 0.911
```

## Properties
Offset from the most stable computed form, eV/atom: 0.000
Total DFT energy (no corrections), eV per atom: -4.7063
Density of states at the Fermi level, states/eV/cell: 17.726
Spin magnetization, μB per formula unit: 1.091
ΔH_f (0 K), kcal/mol of atoms: 0.88
Space-group type: C2/m

=====

2.
Material: CeSmDy2
Method: DFT, PBE
State: optimized geometry

Cell and atoms, written as CIF:
```
data_CeSmDy2
_chemical_formula_sum 'Ce1 Sm1 Dy2'
_symmetry_space_group_name_H-M 'P 1'
_symmetry_Int_Tables_number 1
_cell_length_a 4.998
_cell_length_b 5.036
_cell_length_c 5.036
_cell_angle_alpha 90.00
_cell_angle_beta 90.00
_cell_angle_gamma 90.00
loop_
_symmetry_equiv_pos_as_xyz
'x,y,z'
loop_
_atom_site_label
_atom_site_fract_x
_atom_site_fract_y
_atom_site_fract_z
Ce1 0.500 0.500 0.500
Sm1 0.500 0.000 0.000
Dy1 0.000 0.000 0.500
Dy2 0.000 0.500 0.000
```

## Properties
Offset from the most stable computed form, eV/atom: 0.022
Total DFT energy (no corrections), eV per atom: -4.8936
Density of states at the Fermi level, states/eV/cell: 7.259
Spin magnetization, μB per formula unit: 0.565
ΔH_f (0 K), kcal/mol of atoms: 1.63
Space-group type: P4/mmm

=====

3.
Material: CeSmDySn
Method: DFT, PBE
State: optimized geometry

Cell and atoms, written as CIF:
```
data_CeSmDySn
_chemical_formula_sum 'Ce1 Sm1 Dy1 Sn1'
_symmetry_space_group_name_H-M 'P 1'
_symmetry_Int_Tables_number 1
_cell_length_a 5.416
_cell_length_b 5.416
_cell_length_c 5.416
_cell_angle_alpha 60.00
_cell_angle_beta 60.00
_cell_angle_gamma 60.00
loop_
_symmetry_equiv_pos_as_xyz
'x,y,z'
loop_
_atom_site_label
_atom_site_fract_x
_atom_site_fract_y
_atom_site_fract_z
Sn1 0.250 0.250 0.250
Ce1 0.750 0.750 0.750
Sm1 0.500 0.500 0.500
Dy1 0.000 0.000 0.000
```

## Properties
Total DFT energy (no corrections), eV per atom: -5.0146
Density of states at the Fermi level, states/eV/cell: 7.703
Spin magnetization, μB per formula unit: 0.569
ΔH_f (0 K), kcal/mol of atoms: -4.61
Space-group type: F-43m